1.
Here is a relaxed PaGaSb crystal from Alexandria. Energies are from PBE-GGA.

Lattice parameters (Å, degrees): 5.1854 5.1854 20.4513 90.00 90.00 120.00
Space group R-3m (No. 166, hexagonal axes)
Unique sites:
Pa  0.0000  0.0000  0.0663 x6
Ga  0.0000  0.0000  0.2092 x6
Sb  0.0000  0.0000  0.3532 x6

Results
Offset from the most stable computed form ... 1.511 eV/f.u.
E_tot ... -5.50 eV/atom
Crystal system ... trigonal
Size of the total moment ... 0.0 μB per cell

---

2.
Here is a relaxed Pa2GaSb3 crystal from Alexandria. Energies are from PBE-GGA.

Lattice parameters (Å, degrees): 4.2669 4.2669 8.6323 90.00 90.00 90.00
Space group P-4m2 (No. 115)
Unique sites:
Pa  0.0000  0.5000  0.2220 x2
Ga  0.0000  0.0000  0.5000 x1
Sb  0.0000  0.5000  0.8548 x2
Sb  0.5000  0.5000  0.5000 x1

Results
E_tot ... -6.21 eV/atom
Crystal system ... tetragonal
Size of the total moment ... 0.0 μB per cell

---

3.
Here is a relaxed PaGaSb crystal from Alexandria. Energies are from PBE-GGA.

Lattice parameters (Å, degrees): 5.0519 5.0519 3.1346 90.00 90.00 120.00
Space group P-6m2 (No. 187)
Unique sites:
Pa  0.0000  0.0000  0.0000 x1
Ga  0.3333  0.6667  0.5000 x1
Sb  0.6667  0.3333  0.5000 x1

Results
Offset from the most stable computed form ... 0.913 eV/f.u.
E_tot ... -5.70 eV/atom
Crystal system ... hexagonal
Size of the total moment ... 0.0 μB per cell

---

4.
Here is a relaxed Sc2PaGa9 crystal from Alexandria. Energies are from PBE-GGA.

Lattice parameters (Å, degrees): 4.1862 4.1862 12.5184 90.00 90.00 90.00
Space group P4/mmm (No. 123)
Unique sites:
Sc  0.0000  0.0000  0.1621 x2
Pa  0.0000  0.0000  0.5000 x1
Ga  0.0000  0.5000  0.0000 x2
Ga  0.0000  0.5000  0.3251 x4
Ga  0.5000  0.5000  0.1645 x2
Ga  0.5000  0.5000  0.5000 x1

Results
E_tot ... -4.58 eV/atom
Crystal system ... tetragonal
Size of the total moment ... 0.0 μB per cell
DFT formation energy ... -0.463 eV per atom

---

5.
Here is a relaxed Sc2PaGa crystal from Alexandria. Energies are from PBE-GGA.

Lattice parameters (Å, degrees): 3.1956 3.1956 8.5337 90.00 90.00 90.00
Space group P4/mmm (No. 123)
Unique sites:
Sc  0.0000  0.0000  0.2179 x2
Pa  0.5000  0.5000  0.5000 x1
Ga  0.5000  0.5000  0.0000 x1

Results
Offset from the most stable computed form ... 0.000 eV/f.u.
E_tot ... -6.55 eV/atom
Crystal system ... tetragonal
Size of the total moment ... 0.5 μB per cell
DFT formation energy ... -0.253 eV per atom

---

6.
Here is a relaxed ScPaGa4 crystal from Alexandria. Energies are from PBE-GGA.

Lattice parameters (Å, degrees): 4.0790 4.0790 14.4867 90.00 90.00 90.00
Space group I-4m2 (No. 119)
Unique sites:
Sc  0.0000  0.0000  0.0000 x2
Pa  0.0000  0.5000  0.7500 x2
Ga  0.0000  0.0000  0.4184 x4
Ga  0.0000  0.5000  0.1666 x4

Results
Offset from the most stable computed form ... 0.000 eV/f.u.
E_tot ... -5.04 eV/atom
Crystal system ... tetragonal
Size of the total moment ... 0.0 μB per cell
DFT formation energy ... -0.383 eV per atom

---

7.
Here is a relaxed Sc2PaGa crystal from Alexandria. Energies are from PBE-GGA.

Lattice parameters (Å, degrees): 7.0023 7.0023 7.0023 90.00 90.00 90.00
Space group Fm-3m (No. 225)
Unique sites:
Sc  0.2500  0.2500  0.2500 x8
Pa  0.0000  0.0000  0.0000 x4
Ga  0.0000  0.0000  0.5000 x4

Results
Offset from the most stable computed form ... 1.115 eV/f.u.
E_tot ... -6.27 eV/atom
Crystal system ... cubic
Size of the total moment ... 6.5 μB per cell
DFT formation energy ... 0.026 eV per atom

---

8.
Here is a relaxed ScPa2Ga crystal from Alexandria. Energies are from PBE-GGA.

Lattice parameters (Å, degrees): 4.2579 4.2579 4.8779 90.00 90.00 90.00
Space group P4/mmm (No. 123)
Unique sites:
Sc  0.0000  0.0000  0.0000 x1
Pa  0.0000  0.5000  0.5000 x2
Ga  0.5000  0.5000  0.0000 x1

Results
Offset from the most stable computed form ... 0.000 eV/f.u.
E_tot ... -7.27 eV/atom
Crystal system ... tetragonal
Size of the total moment ... 0.0 μB per cell
DFT formation energy ... -0.182 eV per atom

---

9.
Here is a relaxed ScPaGa crystal from Alexandria. Energies are from PBE-GGA.

Lattice parameters (Å, degrees): 4.9132 4.9132 3.1903 90.00 90.00 120.00
Space group P3m1 (No. 156)
Unique sites:
Sc  0.0000  0.0000  0.0000 x1
Pa  0.6667  0.3333  0.5046 x1
Ga  0.3333  0.6667  0.0207 x1

Results
Offset from the most stable computed form ... 0.420 eV/f.u.
E_tot ... -6.35 eV/atom
Crystal system ... trigonal
Size of the total moment ... 0.0 μB per cell
DFT formation energy ... -0.067 eV per atom

---

10.
Here is a relaxed Sc2PaGa crystal from Alexandria. Energies are from PBE-GGA.

Lattice parameters (Å, degrees): 4.5213 4.5213 4.2441 90.00 90.00 90.00
Space group P4/mmm (No. 123)
Unique sites:
Sc  0.0000  0.5000  0.0000 x2
Pa  0.0000  0.0000  0.5000 x1
Ga  0.5000  0.5000  0.5000 x1

Results
Offset from the most stable computed form ... 0.435 eV/f.u.
E_tot ... -6.44 eV/atom
Crystal system ... tetragonal
Size of the total moment ... 0.0 μB per cell
DFT formation energy ... -0.144 eV per atom

---

11.
Here is a relaxed Sc2PaGa crystal from Alexandria. Energies are from PBE-GGA.

Lattice parameters (Å, degrees): 3.2131 3.2131 29.7974 90.00 90.00 120.00
Space group R3m (No. 160, hexagonal axes)
Unique sites:
Sc  0.0000  0.0000  0.0000 x3
Sc  0.0000  0.0000  0.1816 x3
Pa  0.0000  0.0000  0.7573 x3
Ga  0.0000  0.0000  0.5910 x3

Results
Offset from the most stable computed form ... 0.263 eV/f.u.
E_tot ... -6.48 eV/atom
Crystal system ... trigonal
Size of the total moment ... 0.0 μB per cell
DFT formation energy ... -0.187 eV per atom